No. 1
A relaxed structure of NdTm3Sc5, computed with PBE-GGA.

Structure (POSCAR):
```
NdTm3Sc5
1.0
-2.4113 -0.8954 7.8460
-7.4769 -2.3811 -2.5696
7.1579 -5.2047 -2.7388
Tm Sc Nd
6 10 2
Direct
0.1209 0.3791 0.0000 Tm
0.8791 0.6209 0.0000 Tm
0.6209 0.1209 0.0000 Tm
0.7500 0.7500 0.5000 Tm
0.3791 0.8791 0.0000 Tm
0.2500 0.2500 0.5000 Tm
0.4328 0.3362 0.2690 Sc
0.1638 0.0672 0.7310 Sc
0.5000 0.5000 0.0000 Sc
0.0672 0.5672 0.7310 Sc
0.3362 0.8362 0.2690 Sc
0.9328 0.4328 0.2690 Sc
0.8362 0.9328 0.2690 Sc
0.6638 0.1638 0.7310 Sc
0.0000 0.0000 0.0000 Sc
0.5672 0.6638 0.7310 Sc
0.2500 0.7500 0.5000 Nd
0.7500 0.2500 0.5000 Nd
```

Results
- Energy of formation from the pure elements: 0.294 eV/atom
- Symmetry: I4/mcm
- E_tot: -94.38 eV/cell
- M_tot: 0.00 μB per formula unit



No. 2
A relaxed structure of Nd7TmSc4, computed with PBE-GGA.

Structure (POSCAR):
```
Nd7TmSc4
1.0
-6.4135 2.9509 -0.8022
-0.8566 -3.2521 -5.1714
-10.1604 -4.4233 2.0109
Sc Nd Tm
4 7 1
Direct
0.5952 0.2710 0.6637 Sc
0.1574 0.2132 0.3417 Sc
0.4048 0.7290 0.3363 Sc
0.8426 0.7868 0.6583 Sc
0.2670 0.4964 0.9898 Nd
0.3351 0.7773 0.6641 Nd
0.9155 0.7116 0.3396 Nd
0.5000 0.0000 0.0000 Nd
0.0845 0.2884 0.6604 Nd
0.6649 0.2227 0.3359 Nd
0.7330 0.5036 0.0102 Nd
0.0000 0.0000 0.0000 Tm
```

Results
- Energy of formation from the pure elements: 0.039 eV/atom
- Symmetry: P-1
- E_tot: -62.71 eV/cell
- M_tot: 0.00 μB per formula unit



No. 3
A relaxed structure of Nd2TmSc, computed with PBE-GGA.

Structure (POSCAR):
```
Nd2TmSc
1.0
-1.8064 -6.7940 5.8741
5.9706 -1.0440 -3.8134
-1.3867 6.5046 2.6547
Nd Tm Sc
4 2 2
Direct
0.7500 0.4098 0.0839 Nd
0.2500 0.0839 0.4098 Nd
0.2500 0.5902 0.9161 Nd
0.7500 0.9161 0.5902 Nd
0.2500 0.0804 0.9196 Tm
0.7500 0.9196 0.0804 Tm
0.2500 0.5817 0.4183 Sc
0.7500 0.4183 0.5817 Sc
```

Results
- Energy of formation from the pure elements: 0.039 eV/atom
- Symmetry: Cmcm
- E_tot: -40.37 eV/cell
- Offset from the most stable computed form: 0 meV/atom
- M_tot: 0.00 μB per formula unit



No. 4
A relaxed structure of Nd4Tm3Sc4, computed with PBE-GGA.

Structure (POSCAR):
```
Nd4Tm3Sc4
1.0
3.4348 0.0001 0.0020
0.0003 5.4889 0.0040
1.7071 2.7301 17.2283
Nd Sc Tm
4 4 3
Direct
0.7304 0.7305 0.5391 Nd
0.5912 0.0911 0.8182 Nd
0.4088 0.9090 0.1818 Nd
0.2696 0.2696 0.4609 Nd
0.6813 0.1806 0.6389 Sc
0.5444 0.5441 0.9121 Sc
0.4557 0.4559 0.0879 Sc
0.3187 0.8195 0.3611 Sc
0.8640 0.3643 0.2711 Tm
0.1360 0.6357 0.7289 Tm
0.0000 0.0000 0.0000 Tm
```

Results
- Energy of formation from the pure elements: 0.084 eV/atom
- Symmetry: P-1
- E_tot: -56.89 eV/cell
- M_tot: 0.00 μB per formula unit



No. 5
A relaxed structure of Nd2TmSc, computed with PBE-GGA.

Structure (POSCAR):
```
Nd2TmSc
1.0
5.6109 0.0000 0.0000
2.8055 4.8592 0.0000
2.8055 1.6197 4.5813
Nd Sc Tm
2 1 1
Direct
0.2500 0.2500 0.2500 Nd
0.7500 0.7500 0.7500 Nd
0.0000 0.0000 0.0000 Sc
0.5000 0.5000 0.5000 Tm
```

Results
- Energy of formation from the pure elements: 0.089 eV/atom
- Symmetry: Fm-3m
- E_tot: -19.98 eV/cell
- Offset from the most stable computed form: 51 meV/atom
- M_tot: 0.00 μB per formula unit



No. 6
A relaxed structure of NdTm4Sc, computed with PBE-GGA.

Structure (POSCAR):
```
NdTm4Sc
1.0
-3.9318 4.1400 2.4630
-0.4454 -7.8865 4.1283
7.2831 3.9847 1.2877
Tm Sc Nd
8 2 2
Direct
0.0393 0.1611 0.7455 Tm
0.7938 0.4156 0.2545 Tm
0.2062 0.5844 0.7455 Tm
0.7478 0.7113 0.6156 Tm
0.3678 0.9043 0.6156 Tm
0.9607 0.8389 0.2545 Tm
0.2522 0.2887 0.3844 Tm
0.6322 0.0957 0.3844 Tm
0.2490 0.9990 0.9979 Sc
0.7510 0.0010 0.0021 Sc
0.3360 0.5860 0.1720 Nd
0.6640 0.4140 0.8280 Nd
```

Results
- Energy of formation from the pure elements: 0.138 eV/atom
- Symmetry: C2/c
- E_tot: -56.32 eV/cell
- Offset from the most stable computed form: 0 meV/atom
- M_tot: 0.00 μB per formula unit



No. 7
A relaxed structure of Nd2Tm2Sc7, computed with PBE-GGA.

Structure (POSCAR):
```
Nd2Tm2Sc7
1.0
-7.1873 -5.8691 -0.7470
4.6392 -4.1253 -0.3159
-1.3609 2.4774 5.5363
Sc Tm Nd
7 2 2
Direct
0.6302 0.7185 0.7185 Sc
0.8487 0.3894 0.8118 Sc
0.3698 0.2815 0.2815 Sc
0.0000 0.0000 0.0000 Sc
0.1513 0.6106 0.1882 Sc
0.8487 0.8118 0.3894 Sc
0.1513 0.1882 0.6106 Sc
0.5000 0.7876 0.2124 Tm
0.5000 0.2124 0.7876 Tm
0.7637 0.2571 0.2571 Nd
0.2363 0.7429 0.7429 Nd
```

Results
- Energy of formation from the pure elements: 0.155 eV/atom
- Symmetry: C2/m
- E_tot: -61.10 eV/cell
- M_tot: 0.00 μB per formula unit



No. 8
A relaxed structure of NdTmSc4, computed with PBE-GGA.

Structure (POSCAR):
```
NdTmSc4
1.0
-3.7789 4.7030 -5.9089
-2.1954 -3.1200 3.6953
2.7059 6.3755 6.9910
Nd Sc Tm
2 8 2
Direct
0.3769 0.6269 0.2537 Nd
0.6231 0.3731 0.7463 Nd
0.5431 0.2921 0.0831 Sc
0.2025 0.9552 0.4168 Sc
0.7975 0.0448 0.5832 Sc
0.2857 0.5384 0.5832 Sc
0.9600 0.2090 0.9169 Sc
0.4569 0.7079 0.9169 Sc
0.0400 0.7910 0.0831 Sc
0.7143 0.4616 0.4168 Sc
0.1268 0.8768 0.7536 Tm
0.8732 0.1232 0.2464 Tm
```

Results
- Energy of formation from the pure elements: 0.033 eV/atom
- Symmetry: C2/c
- E_tot: -68.74 eV/cell
- Offset from the most stable computed form: 0 meV/atom
- M_tot: 0.00 μB per formula unit